(1)
Below is a relaxed structure of YHo3Tm12, with properties calculated at the PBE-GGA level.

abc: 4.948 4.948 19.799
angles: 90.00 90.00 90.00
Element x y z (fractional)
Y 0.000 0.000 0.000
Ho 0.000 0.000 0.250
Ho 0.000 0.000 0.500
Ho 0.000 0.000 0.750
Tm 0.000 0.500 0.126
Tm 0.000 0.500 0.375
Tm 0.000 0.500 0.625
Tm 0.000 0.500 0.874
Tm 0.500 0.000 0.126
Tm 0.500 0.000 0.375
Tm 0.500 0.000 0.625
Tm 0.500 0.000 0.874
Tm 0.500 0.500 0.000
Tm 0.500 0.500 0.250
Tm 0.500 0.500 0.500
Tm 0.500 0.500 0.750

Properties
The crystal system is tetragonal. For the electronic total energy, the calculation gives -0.1687 hartree per atom.

***

(2)
Below is a relaxed structure of BaLiTc2, with properties calculated at the PBE-GGA level.

abc: 5.326 10.745 3.176
angles: 90.00 122.54 90.00
Element x y z (fractional)
Ba 0.000 0.000 0.000
Ba 0.500 0.500 0.000
Li 0.000 0.500 0.000
Li 0.500 0.000 0.000
Tc 0.250 0.250 0.500
Tc 0.250 0.750 0.500
Tc 0.750 0.250 0.500
Tc 0.750 0.750 0.500

Properties
The crystal system is monoclinic. For the electronic total energy, the calculation gives -0.1906 hartree per atom.

***

(3)
Below is a relaxed structure of RbSc2Sn2, with properties calculated at the PBE-GGA level.

abc: 9.144 9.144 3.249
angles: 90.00 90.00 90.00
Element x y z (fractional)
Rb 0.000 0.000 0.000
Rb 0.500 0.500 0.000
Sc 0.129 0.371 0.000
Sc 0.371 0.871 0.000
Sc 0.629 0.129 0.000
Sc 0.871 0.629 0.000
Sn 0.163 0.663 0.500
Sn 0.337 0.163 0.500
Sn 0.663 0.837 0.500
Sn 0.837 0.337 0.500

Properties
The crystal system is tetragonal. For the electronic total energy, the calculation gives -0.1723 hartree per atom.

***

(4)
Below is a relaxed structure of Na2TaRh, with properties calculated at the PBE-GGA level.

abc: 8.469 8.469 4.942
angles: 90.00 90.00 90.00
Element x y z (fractional)
Na 0.205 0.750 0.125
Na 0.250 0.205 0.875
Na 0.250 0.295 0.375
Na 0.295 0.750 0.625
Na 0.705 0.250 0.625
Na 0.750 0.705 0.375
Na 0.750 0.795 0.875
Na 0.795 0.250 0.125
Ta 0.000 0.000 0.500
Ta 0.000 0.500 0.750
Ta 0.500 0.000 0.250
Ta 0.500 0.500 0.000
Rh 0.000 0.000 0.000
Rh 0.000 0.500 0.250
Rh 0.500 0.000 0.750
Rh 0.500 0.500 0.500

Properties
The crystal system is tetragonal. For the electronic total energy, the calculation gives -0.1619 hartree per atom.

***

Number 1: ρ 8944 kg/m³. Number 2: ρ 7376 kg/m³. Number 3: ρ 5047 kg/m³. Number 4: ρ 6181 kg/m³.